VASP calculation (PBE) on an optimized crystal structure of MgZnCd3.

Geometry as POSCAR:
```
MgZnCd3
1.0
-3.055 -4.064 1.113
2.916 -3.810 -5.905
8.128 -4.258 6.761
Cd Zn Mg
12 4 4
Cartesian
3.406 -5.938 -0.369
4.987 -5.214 5.131
7.549 -5.651 1.777
6.818 -11.242 1.797
3.424 -2.070 2.046
4.583 -6.194 2.338
1.154 -4.758 -2.242
1.172 -0.890 0.173
0.440 -6.481 0.193
3.002 -6.918 -3.162
4.565 -10.062 -0.076
6.836 -7.374 4.212
1.514 -3.853 0.558
6.475 -8.279 1.412
4.073 -4.293 -2.796
3.916 -7.839 4.766
1.458 -1.905 -2.953
2.537 -4.161 3.937
-1.528 -2.032 0.557
5.522 -4.034 0.428
```

Summary:
mass density	6.28	g/cm³
E_form	0.0664	eV/atom